one | # Bi2SbTe (PBE, relaxed)
# calculated volume: 29.6 A^3/atom
data_Bi2SbTe
_chemical_formula_sum 'Bi8 Sb4 Te4'
_space_group_name_H-M_alt 'F m -3 m'
_space_group_IT_number 225
_space_group_name_Hall '-F 4 2 3'
_cell_length_a 7.7961
_cell_length_b 7.7961
_cell_length_c 7.7961
_cell_angle_alpha 90.00
_cell_angle_beta 90.00
_cell_angle_gamma 90.00
loop_
_atom_site_label
_atom_site_type_symbol
_atom_site_fract_x
_atom_site_fract_y
_atom_site_fract_z
Bi1 Bi 0.2500 0.2500 0.2500
Sb1 Sb 0.0000 0.0000 0.0000
Te1 Te 0.0000 0.0000 0.5000

two | # Bi2SbTe (PBE, relaxed)
# calculated volume: 33.4 A^3/atom
data_Bi2SbTe
_chemical_formula_sum 'Bi6 Sb3 Te3'
_space_group_name_H-M_alt 'R -3 m'
_space_group_IT_number 166
_space_group_name_Hall '-R 3 2"'
_cell_length_a 4.5963
_cell_length_b 4.5963
_cell_length_c 21.9060
_cell_angle_alpha 90.00
_cell_angle_beta 90.00
_cell_angle_gamma 120.00
loop_
_atom_site_label
_atom_site_type_symbol
_atom_site_fract_x
_atom_site_fract_y
_atom_site_fract_z
Bi1 Bi 0.0000 0.0000 0.2468
Sb1 Sb 0.0000 0.0000 0.5000
Te1 Te 0.0000 0.0000 0.0000

three | # Bi2SbTe (PBE, relaxed)
# calculated volume: 33.5 A^3/atom
data_Bi2SbTe
_chemical_formula_sum 'Bi6 Sb3 Te3'
_space_group_name_H-M_alt 'R 3 m'
_space_group_IT_number 160
_space_group_name_Hall 'R 3 -2"'
_cell_length_a 4.3245
_cell_length_b 4.3245
_cell_length_c 24.8198
_cell_angle_alpha 90.00
_cell_angle_beta 90.00
_cell_angle_gamma 120.00
loop_
_atom_site_label
_atom_site_type_symbol
_atom_site_fract_x
_atom_site_fract_y
_atom_site_fract_z
Bi1 Bi 0.0000 0.0000 0.0000
Bi2 Bi 0.0000 0.0000 0.1756
Sb1 Sb 0.0000 0.0000 0.5908
Te1 Te 0.0000 0.0000 0.7619

Which of them is least stable? Easy: one.

one | # ZnBiSbTe2 (PBE, relaxed)
# calculated volume: 29.6 A^3/atom
data_ZnBiSbTe2
_chemical_formula_sum 'Zn1 Bi1 Sb1 Te2'
_space_group_name_H-M_alt 'P 4/m m m'
_space_group_IT_number 123
_space_group_name_Hall '-P 4 2'
_cell_length_a 5.3094
_cell_length_b 5.3094
_cell_length_c 5.2553
_cell_angle_alpha 90.00
_cell_angle_beta 90.00
_cell_angle_gamma 90.00
loop_
_atom_site_label
_atom_site_type_symbol
_atom_site_fract_x
_atom_site_fract_y
_atom_site_fract_z
Zn1 Zn 0.0000 0.0000 0.0000
Bi1 Bi 0.5000 0.5000 0.5000
Sb1 Sb 0.0000 0.0000 0.5000
Te1 Te 0.0000 0.5000 0.0000

two | # ZnBiSbTe2 (PBE, relaxed)
# calculated volume: 42.4 A^3/atom
data_ZnBiSbTe2
_chemical_formula_sum 'Zn1 Bi1 Sb1 Te2'
_space_group_name_H-M_alt 'P 4/m m m'
_space_group_IT_number 123
_space_group_name_Hall '-P 4 2'
_cell_length_a 5.9991
_cell_length_b 5.9991
_cell_length_c 5.8969
_cell_angle_alpha 90.00
_cell_angle_beta 90.00
_cell_angle_gamma 90.00
loop_
_atom_site_label
_atom_site_type_symbol
_atom_site_fract_x
_atom_site_fract_y
_atom_site_fract_z
Zn1 Zn 0.0000 0.0000 0.0000
Bi1 Bi 0.5000 0.5000 0.5000
Sb1 Sb 0.5000 0.5000 0.0000
Te1 Te 0.0000 0.5000 0.5000

Which of them is least stable? Easy: two.